Here is a relaxed TbSiHO4 crystal from OQMD. Energies are from PBE.

Values from the calculation:
Energy above the most stable polymorph in this dataset in meV/atom: 0
Volume in Å³ per atom: 11.28

Cell: 7.6627 6.5165 6.8193 Å, 90.00 111.93 90.00°
Closest atoms and distances in Å follow each position.
Fractional positions:
Tb 0.2049 0.1385 0.1188  7 O 2.26-2.53
Tb 0.2049 0.3615 0.6188  7 O 2.26-2.53
Tb 0.7951 0.6385 0.3812  7 O 2.26-2.53
Tb 0.7951 0.8615 0.8812  7 O 2.26-2.53
Si 0.2462 0.6039 0.1415  4 O 1.62-1.70
Si 0.2462 0.8961 0.6415  4 O 1.62-1.70
Si 0.7538 0.1039 0.3585  4 O 1.62-1.70
Si 0.7538 0.3961 0.8585  4 O 1.62-1.70
H 0.4714 0.6931 0.8870  1 O 0.99
H 0.4714 0.8069 0.3870  1 O 0.99
H 0.5286 0.1931 0.6130  1 O 0.99
H 0.5286 0.3069 0.1130  1 O 0.99
O 0.1033 0.7032 0.5647  1 Si 1.62
O 0.1033 0.7968 0.0647  1 Si 1.62
O 0.1985 0.0619 0.7926  1 Si 1.63
O 0.1985 0.4381 0.2926  1 Si 1.63
O 0.2766 0.0373 0.4592  1 Si 1.63
O 0.2766 0.4627 0.9592  1 Si 1.63
O 0.4630 0.7037 0.2780  1 H 0.99
O 0.4630 0.7963 0.7780  1 H 0.99
O 0.5370 0.2037 0.2220  1 H 0.99
O 0.5370 0.2963 0.7220  1 H 0.99
O 0.7234 0.5373 0.0408  1 Si 1.63
O 0.7234 0.9627 0.5408  1 Si 1.63
O 0.8015 0.5619 0.7074  1 Si 1.63
O 0.8015 0.9381 0.2074  1 Si 1.63
O 0.8967 0.2032 0.9353  1 Si 1.62
O 0.8967 0.2968 0.4353  1 Si 1.62